# 1
The following is a DFT calculation (GGA-PBE) of a relaxed structure of Cs2Tm2NpS6.

Unit cell a=6.9289 b=6.9289 c=8.5834 alpha=97.92 beta=97.92 gamma=120.02
Last column: nearest neighbours and their distance in Å.
Sites, in units of the cell vectors:
Cs: 0.8317 0.1683 0.0000  6 S 3.52-3.55
Cs: 0.1683 0.8317 0.0000  6 S 3.52-3.55
Tm: 0.3335 0.6665 0.5000  6 S 2.73
Tm: 0.6665 0.3335 0.5000  6 S 2.73
Np: 0.0000 0.0000 0.5000  6 S 2.71-2.72
S: 0.7291 0.7291 0.6751  1 Np 2.71, 2 Tm 2.73
S: 0.0588 0.3910 0.6753  1 Np 2.72, 2 Tm 2.73
S: 0.2709 0.2709 0.3249  1 Np 2.71, 2 Tm 2.73
S: 0.3910 0.0588 0.6753  1 Np 2.72, 2 Tm 2.73
S: 0.9412 0.6090 0.3247  1 Np 2.72, 2 Tm 2.73
S: 0.6090 0.9412 0.3247  1 Np 2.72, 2 Tm 2.73

# 2
The following is a DFT calculation (GGA-PBE) of a relaxed structure of Cs3TmNp3S8.

Unit cell a=8.1675 b=8.1683 c=9.4375 alpha=115.68 beta=89.91 gamma=120.12
Last column: nearest neighbours and their distance in Å.
Sites, in units of the cell vectors:
Cs: 0.0000 0.0000 0.0000  6 S 3.53-3.55
Cs: 0.0000 0.5000 0.0000  6 S 3.52-3.53
Cs: 0.5000 0.5000 0.0000  6 S 3.53-3.55
Tm: 0.0000 0.0000 0.5000  6 S 2.73-2.75
Np: 0.5000 0.0000 0.5000  6 S 2.76-2.78
Np: 0.5000 0.5000 0.5000  6 S 2.77-2.79
Np: 0.0000 0.5000 0.5000  6 S 2.76-2.78
S: 0.2725 0.5482 0.3208  3 Np 2.77-2.79
S: 0.7275 0.4518 0.6792  3 Np 2.77-2.79
S: 0.7770 0.5535 0.3240  1 Tm 2.73, 2 Np 2.77-2.78
S: 0.2230 0.4465 0.6760  1 Tm 2.73, 2 Np 2.77-2.78
S: 0.7761 0.0493 0.3256  1 Tm 2.75, 2 Np 2.76
S: 0.2239 0.9507 0.6744  1 Tm 2.75, 2 Np 2.76
S: 0.2703 0.0469 0.3241  1 Tm 2.73, 2 Np 2.77-2.78
S: 0.7297 0.9531 0.6759  1 Tm 2.73, 2 Np 2.77-2.78

# 3
The following is a DFT calculation (GGA-PBE) of a relaxed structure of Cs2TmNp2S6.

Unit cell a=6.9806 b=6.9806 c=8.5471 alpha=97.70 beta=97.70 gamma=120.00
Last column: nearest neighbours and their distance in Å.
Sites, in units of the cell vectors:
Cs: 0.8343 0.1657 0.0000  6 S 3.54-3.56
Cs: 0.1657 0.8343 0.0000  6 S 3.54-3.56
Tm: 0.0000 0.0000 0.5000  6 S 2.73-2.74
Np: 0.3339 0.6661 0.5000  6 S 2.73-2.74
Np: 0.6661 0.3339 0.5000  6 S 2.73-2.74
S: 0.7257 0.7257 0.6747  1 Tm 2.73, 2 Np 2.74
S: 0.0563 0.3908 0.6746  2 Np 2.73-2.74, 1 Tm 2.74
S: 0.2743 0.2743 0.3253  1 Tm 2.73, 2 Np 2.74
S: 0.3908 0.0563 0.6746  2 Np 2.73-2.74, 1 Tm 2.74
S: 0.9437 0.6092 0.3254  2 Np 2.73-2.74, 1 Tm 2.74
S: 0.6092 0.9437 0.3254  2 Np 2.73-2.74, 1 Tm 2.74

Energy in eV per cell, matching the order above: -67.220, -101.105, -73.982
D(E_F) in states/eV/f.u., matching the order above: 5.19, 24.36, 18.59
Energy relative to the elements, uncorrected in kJ/mol of formula units, matching the order above: -1820, -2145, -1655